Below is an optimized crystal structure of NaYCo2, with properties calculated at the PBE-GGA level.

E = -4.76 eV per atom
Space group = No. 122
Total magnetization = 4.321 Bohr magnetons per cell
Theoretical density = 5.11 g/cm3
Polymorph energy (0 for the lowest one) = 0.179 eV per atom
Formation enthalpy at 0 K = 0.737 eV/atom

Lattice parameters (Å, degrees): 7.3962 7.3962 5.8994 51.18 51.18 90.00
Each line ends with the local moment (μB).
Fractional coordinates of all 8 atoms:
Co: 0.1306 0.6250 0.2500  1.36
Co: 0.6194 0.1250 0.2500  1.34
Co: 0.8750 0.8694 0.7500  1.37
Co: 0.3750 0.3806 0.7500  1.34
Na: 0.2500 0.7500 0.5000  -0.02
Na: 0.5000 0.5000 0.0000  -0.02
Y: 0.0000 0.0000 0.0000  -0.26
Y: 0.7500 0.2500 0.5000  -0.27

---

Below is an optimized crystal structure of LaCdAg4, with properties calculated at the PBE-GGA level.

E = -3.11 eV per atom
Space group = No. 216
Total magnetization = 0.000 Bohr magnetons per cell
Theoretical density = 8.78 g/cm3
Formation enthalpy at 0 K = -0.232 eV/atom

Lattice parameters (Å, degrees): 5.6743 5.6743 5.6743 60.00 60.00 60.00
Fractional coordinates of all 6 atoms:
Ag: 0.1275 0.6242 0.6242
Ag: 0.6242 0.1275 0.6242
Ag: 0.6242 0.6242 0.6242
Ag: 0.6242 0.6242 0.1275
Cd: 0.2500 0.2500 0.2500
La: 0.0000 0.0000 0.0000

---

Below is an optimized crystal structure of YHAu3, with properties calculated at the PBE-GGA level.

E = -4.10 eV per atom
Space group = No. 221
Total magnetization = 0.000 Bohr magnetons per cell
Theoretical density = 13.10 g/cm3

Lattice parameters (Å, degrees): 4.4190 4.4190 4.4190 90.00 90.00 90.00
Fractional coordinates of all 5 atoms:
Au: 0.0000 0.0000 0.5000
Au: 0.5000 0.0000 0.0000
Au: 0.0000 0.5000 0.0000
Y: 0.5000 0.5000 0.5000
H: 0.0000 0.0000 0.0000

---

Below is an optimized crystal structure of IrOsBrCl2, with properties calculated at the PBE-GGA level.

E = -2.79 eV per atom
Space group = No. 123
Total magnetization = 4.526 Bohr magnetons per cell
Theoretical density = 6.97 g/cm3

Lattice parameters (Å, degrees): 5.1816 4.7295 5.1816 90.00 90.00 90.00
Each line ends with the local moment (μB).
Fractional coordinates of all 5 atoms:
Ir: 0.5000 0.5000 0.5000  1.98
Cl: 0.5000 0.0000 0.0000  0.09
Cl: 0.0000 0.0000 0.5000  0.09
Br: 0.0000 0.0000 0.0000  0.06
Os: 0.0000 0.5000 0.0000  1.91

---

Below is an optimized crystal structure of YSc4As, with properties calculated at the PBE-GGA level.

E = -5.91 eV per atom
Space group = No. 216
Total magnetization = 2.288 Bohr magnetons per cell
Theoretical density = 3.74 g/cm3
Formation enthalpy at 0 K = 0.161 eV/atom

Lattice parameters (Å, degrees): 5.9975 5.9975 5.9975 60.00 60.00 60.00
Each line ends with the local moment (μB).
Fractional coordinates of all 6 atoms:
As: 0.0000 0.0000 0.0000  -0.02
Sc: 0.3761 0.3761 0.8716  0.24
Sc: 0.8716 0.3761 0.3761  0.24
Sc: 0.3761 0.8716 0.3761  0.24
Sc: 0.3761 0.3761 0.3761  0.24
Y: 0.7500 0.7500 0.7500  0.38

---

Below is an optimized crystal structure of Ni2Te4Cl, with properties calculated at the PBE-GGA level.

E = -3.89 eV per atom
Space group = No. 15
Total magnetization = 0.000 Bohr magnetons per cell
Theoretical density = 6.45 g/cm3

Lattice parameters (Å, degrees): 8.4107 8.4106 7.1024 114.60 114.60 107.33
Fractional coordinates of all 14 atoms:
Te: 0.8197 0.1744 0.7469
Te: 0.4261 0.0718 0.2520
Te: 0.8257 0.1804 0.2531
Te: 0.3218 0.1760 0.7520
Te: 0.4303 0.5756 0.7531
Te: 0.9282 0.5739 0.7480
Te: 0.8239 0.6782 0.2480
Te: 0.4244 0.5696 0.2469
Cl: 0.9993 0.0006 0.0000
Cl: 0.2508 0.7493 0.5000
Ni: 0.6249 0.3750 0.2500
Ni: 0.6249 0.8750 0.2499
Ni: 0.6250 0.3751 0.7501
Ni: 0.1250 0.3751 0.7501

---

Below is an optimized crystal structure of PdIO4, with properties calculated at the PBE-GGA level.

E = -4.56 eV per atom
Space group = No. 12
Total magnetization = 0.000 Bohr magnetons per cell
Theoretical density = 5.40 g/cm3

Lattice parameters (Å, degrees): 4.1695 6.8136 7.2216 109.46 90.00 107.82
Fractional coordinates of all 12 atoms:
O: 0.3571 0.7141 0.2710
O: 0.8799 0.7598 0.9934
O: 0.7292 0.4584 0.3748
O: 0.1201 0.2402 0.0066
O: 0.9474 0.8948 0.6362
O: 0.2708 0.5416 0.6252
O: 0.0526 0.1052 0.3638
O: 0.6429 0.2859 0.7290
Pd: 0.7964 0.5929 0.6819
Pd: 0.2036 0.4071 0.3181
I: 0.8965 0.7931 0.2548
I: 0.1035 0.2069 0.7452

---

Below is an optimized crystal structure of Sc2ReSi, with properties calculated at the PBE-GGA level.

E = -7.82 eV per atom
Space group = No. 65
Total magnetization = 0.000 Bohr magnetons per cell
Theoretical density = 7.21 g/cm3

Lattice parameters (Å, degrees): 2.9432 2.9432 8.3389 90.00 90.00 103.99
Fractional coordinates of all 4 atoms:
Sc: 0.0000 0.0000 0.9990
Sc: 0.0000 0.0000 0.5010
Re: 0.5000 0.5000 0.7500
Si: 0.5000 0.5000 0.2500

---

Below is an optimized crystal structure of TbTiCo4, with properties calculated at the PBE-GGA level.

E = -7.00 eV per atom
Space group = No. 216
Total magnetization = 2.904 Bohr magnetons per cell
Theoretical density = 8.80 g/cm3
Formation enthalpy at 0 K = -0.174 eV/atom

Lattice parameters (Å, degrees): 4.9060 4.9060 4.9060 60.00 60.00 60.00
Each line ends with the local moment (μB).
Fractional coordinates of all 6 atoms:
Co: 0.1232 0.6256 0.6256  1.03
Co: 0.6256 0.6256 0.6256  1.03
Co: 0.6256 0.1232 0.6256  1.03
Co: 0.6256 0.6256 0.1232  1.03
Ti: 0.0000 0.0000 0.0000  -0.70
Tb: 0.2500 0.2500 0.2500  -0.29

---

Below is an optimized crystal structure of AlSiSe2, with properties calculated at the PBE-GGA level.

E = -3.93 eV per atom
Space group = No. 44
Total magnetization = 0.000 Bohr magnetons per cell
Theoretical density = 4.05 g/cm3
Polymorph energy (0 for the lowest one) = 0.473 eV per atom

Lattice parameters (Å, degrees): 5.4876 5.4876 5.4876 143.78 113.88 77.79
Fractional coordinates of all 4 atoms:
Se: 0.7048 0.2048 0.5000
Se: 0.0433 0.0433 0.0000
Si: 0.5035 0.5035 0.0000
Al: 0.2484 0.7484 0.5000

---

Below is an optimized crystal structure of TbPm3Pb4, with properties calculated at the PBE-GGA level.

E = -4.65 eV per atom
Space group = No. 65
Total magnetization = 0.000 Bohr magnetons per cell
Theoretical density = 9.19 g/cm3
Polymorph energy (0 for the lowest one) = 0.046 eV per atom
Formation enthalpy at 0 K = -0.436 eV/atom

Lattice parameters (Å, degrees): 5.2689 7.4561 7.4561 118.66 90.00 90.00
Fractional coordinates of all 8 atoms:
Pb: 0.0000 0.2426 0.2426
Pb: 0.5000 0.7522 0.2478
Pb: 0.0000 0.7574 0.7574
Pb: 0.5000 0.2478 0.7522
Pm: 0.0000 0.5000 0.0000
Pm: 0.0000 0.0000 0.5000
Pm: 0.5000 0.5000 0.5000
Tb: 0.5000 0.0000 0.0000

---

Below is an optimized crystal structure of LaGa4CuRu2, with properties calculated at the PBE-GGA level.

E = -5.31 eV per atom
Space group = No. 166
Total magnetization = 0.000 Bohr magnetons per cell
Theoretical density = 8.05 g/cm3
Formation enthalpy at 0 K = -0.352 eV/atom

Lattice parameters (Å, degrees): 4.2765 4.2765 9.2387 76.62 76.62 60.00
Fractional coordinates of all 8 atoms:
Ga: 0.8710 0.8710 0.3871
Ga: 0.4038 0.4038 0.7886
Ga: 0.5962 0.5962 0.2114
Ga: 0.1290 0.1290 0.6129
Ru: 0.7742 0.7742 0.6775
Ru: 0.2258 0.2258 0.3225
Cu: 0.5000 0.5000 0.5000
La: 0.0000 0.0000 0.0000